# 1
Compound: CeCd3Ni8
Source: Alexandria
Functional: PBE
Structure: optimized geometry

Lattice parameters (Å, degrees): 8.6006 8.6006 8.6006 33.45 33.45 33.45
Sites, in units of the cell vectors:
Ce 0.0000 0.0000 0.0000
Cd 0.1287 0.1287 0.1287
Cd 0.4959 0.4959 0.4959
Cd 0.6157 0.6157 0.6157
Ni 0.0604 0.5621 0.5621
Ni 0.0619 0.0619 0.5602
Ni 0.0619 0.5602 0.0619
Ni 0.3113 0.3113 0.3113
Ni 0.5602 0.0619 0.0619
Ni 0.5621 0.0604 0.5621
Ni 0.5621 0.5621 0.0604
Ni 0.8112 0.8112 0.8112

Computed properties:
Total magnetization   0.0 μB per formula unit
N(E_F)   1.2232 states/eV per atom
Calculated total energy   -4.725 eV/atom

=====

# 2
Compound: Dy3InGa3
Source: Alexandria
Functional: PBE
Structure: optimized geometry

Lattice parameters (Å, degrees): 5.9881 5.9881 14.2033 108.11 108.11 43.38
Sites, in units of the cell vectors:
Dy 0.0119 0.0119 0.3690
Dy 0.1092 0.1092 0.9268
Dy 0.2336 0.2336 0.2178
Dy 0.7664 0.7664 0.7822
Dy 0.8908 0.8908 0.0732
Dy 0.9881 0.9881 0.6310
In 0.2698 0.2698 0.6075
In 0.7302 0.7302 0.3925
Ga 0.3802 0.3802 0.4496
Ga 0.3910 0.3910 0.9260
Ga 0.4878 0.4878 0.7803
Ga 0.5122 0.5122 0.2197
Ga 0.6090 0.6090 0.0740
Ga 0.6198 0.6198 0.5504

Computed properties:
E above lowest polymorph   0 meV per atom
Total magnetization   0.0 μB per formula unit
N(E_F)   0.7192 states/eV per atom
Calculated total energy   -4.238 eV/atom

=====

# 3
Compound: TbPrYCd
Source: Alexandria
Functional: PBE
Structure: optimized geometry

Lattice parameters (Å, degrees): 5.5340 5.5340 5.5340 60.00 60.00 60.00
Sites, in units of the cell vectors:
Tb 0.0000 0.0000 0.0000
Pr 0.7500 0.7500 0.7500
Y 0.2500 0.2500 0.2500
Cd 0.5000 0.5000 0.5000

Computed properties:
E above lowest polymorph   132 meV per atom
Total magnetization   0.1 μB per formula unit
N(E_F)   1.4270 states/eV per atom
Calculated total energy   -4.224 eV/atom

=====

# 4
Compound: Ce3PuZr2As6
Source: Alexandria
Functional: PBE
Structure: optimized geometry

Lattice parameters (Å, degrees): 7.0573 7.0573 7.0608 99.60 99.60 120.01
Sites, in units of the cell vectors:
Ce 0.0000 0.0000 0.0000
Ce 0.3359 0.6641 0.0000
Ce 0.6641 0.3359 0.0000
Pu 0.5000 0.5000 0.5000
Zr 0.1673 0.8327 0.5000
Zr 0.8327 0.1673 0.5000
As 0.0801 0.4213 0.2640
As 0.2361 0.2361 0.7325
As 0.4213 0.0801 0.2640
As 0.5787 0.9199 0.7360
As 0.7639 0.7639 0.2675
As 0.9199 0.5787 0.7360

Computed properties:
Total magnetization   6.8 μB per formula unit
N(E_F)   1.8998 states/eV per atom
Calculated total energy   -7.706 eV/atom

=====

# 5
Compound: BeCoNi2
Source: Alexandria
Functional: PBE
Structure: optimized geometry

Lattice parameters (Å, degrees): 2.7217 3.8452 3.8535 90.00 90.00 90.00
Sites, in units of the cell vectors:
Be 0.0000 0.0000 0.0000
Co 0.5000 0.0000 0.5000
Ni 0.0000 0.5000 0.5000
Ni 0.5000 0.5000 0.0000

Computed properties:
Total magnetization   1.8 μB per formula unit
N(E_F)   1.0103 states/eV per atom
Calculated total energy   -5.669 eV/atom

=====

# 6
Compound: Tl3GaHg4
Source: Alexandria
Functional: PBE
Structure: optimized geometry

Lattice parameters (Å, degrees): 3.9969 3.9969 13.7998 90.00 90.00 90.00
Sites, in units of the cell vectors:
Tl 0.0000 0.0000 0.0000
Tl 0.0000 0.0000 0.2604
Tl 0.0000 0.0000 0.7396
Ga 0.0000 0.0000 0.5000
Hg 0.5000 0.5000 0.1299
Hg 0.5000 0.5000 0.3881
Hg 0.5000 0.5000 0.6119
Hg 0.5000 0.5000 0.8701

Computed properties:
E above lowest polymorph   0 meV per atom
Total magnetization   0.0 μB per formula unit
N(E_F)   0.3348 states/eV per atom
Calculated total energy   -1.403 eV/atom

=====

# 7
Compound: Zn2AgSb
Source: Alexandria
Functional: PBE
Structure: optimized geometry

Lattice parameters (Å, degrees): 5.2382 5.2382 5.2382 132.25 131.80 70.19
Sites, in units of the cell vectors:
Zn 0.0000 0.0000 0.0000
Zn 0.7528 0.2528 0.5000
Ag 0.2511 0.7511 0.5000
Sb 0.5029 0.5029 0.0000

Computed properties:
Energy relative to the elements, uncorrected   0.14 eV/atom
Total magnetization   0.0 μB per formula unit
N(E_F)   0.3430 states/eV per atom
Calculated total energy   -2.244 eV/atom

=====

# 8
Compound: MoPRh2
Source: Alexandria
Functional: PBE
Structure: optimized geometry

Lattice parameters (Å, degrees): 2.8806 2.8806 6.7477 90.00 90.00 90.00
Sites, in units of the cell vectors:
Mo 0.0000 0.0000 0.0000
P 0.5000 0.5000 0.2376
Rh 0.0000 0.0000 0.4321
Rh 0.5000 0.5000 0.7459

Computed properties:
Total magnetization   0.0 μB per formula unit
N(E_F)   0.6265 states/eV per atom
Calculated total energy   -8.045 eV/atom

=====

# 9
Compound: Li2GaSbSe4
Source: Alexandria
Functional: PBE
Structure: optimized geometry

Lattice parameters (Å, degrees): 7.2999 6.8284 6.1598 68.17 60.27 51.56
Sites, in units of the cell vectors:
Li 0.0000 0.0000 0.5000
Li 0.5000 0.5000 0.0000
Ga 0.2472 0.2472 0.7528
Sb 0.7669 0.7669 0.2331
Se 0.1402 0.5770 0.4230
Se 0.3545 0.8597 0.6455
Se 0.5770 0.1402 0.8598
Se 0.8597 0.3545 0.1403

Computed properties:
Energy relative to the elements, uncorrected   -0.71 eV/atom
Total magnetization   0.0 μB per formula unit
Calculated total energy   -3.823 eV/atom

=====

# 10
Compound: Sm3Ho6ErTm2
Source: Alexandria
Functional: PBE
Structure: optimized geometry

Lattice parameters (Å, degrees): 6.1349 6.1349 11.7221 94.99 94.99 119.95
Sites, in units of the cell vectors:
Sm 0.0000 0.0000 0.0000
Sm 0.3333 0.6667 0.0000
Sm 0.6667 0.3333 0.0000
Ho 0.0844 0.4178 0.2537
Ho 0.2487 0.2487 0.7463
Ho 0.4178 0.0844 0.2537
Ho 0.5822 0.9156 0.7463
Ho 0.7513 0.7513 0.2537
Ho 0.9156 0.5822 0.7463
Er 0.5000 0.5000 0.5000
Tm 0.1667 0.8333 0.5000
Tm 0.8333 0.1667 0.5000

Computed properties:
Total magnetization   0.0 μB per formula unit
N(E_F)   1.3430 states/eV per atom
Calculated total energy   -4.574 eV/atom

=====

# 11
Compound: HfAlC
Source: Alexandria
Functional: PBE
Structure: optimized geometry

Lattice parameters (Å, degrees): 3.5395 4.5878 5.8152 90.00 90.00 90.00
Sites, in units of the cell vectors:
Hf 0.2500 0.2500 0.1141
Hf 0.7500 0.7500 0.8859
Al 0.2500 0.7500 0.4495
Al 0.7500 0.2500 0.5505
C 0.2500 0.7500 0.1079
C 0.7500 0.2500 0.8921

Computed properties:
E above lowest polymorph   152 meV per atom
Total magnetization   0.0 μB per formula unit
N(E_F)   0.2733 states/eV per atom
Calculated total energy   -8.024 eV/atom

=====

# 12
Compound: Ba2HoSb2
Source: Alexandria
Functional: PBE
Structure: optimized geometry

Lattice parameters (Å, degrees): 8.9175 8.9175 8.9175 125.25 75.14 132.79
Sites, in units of the cell vectors:
Ba 0.1464 0.1595 0.3058
Ba 0.3536 0.6595 0.0131
Ba 0.6464 0.3405 0.9869
Ba 0.8536 0.8405 0.6942
Ho 0.2500 0.7500 0.5000
Ho 0.7500 0.2500 0.5000
Sb 0.1095 0.7328 0.8423
Sb 0.3905 0.2328 0.6233
Sb 0.6095 0.7672 0.3767
Sb 0.8905 0.2672 0.1577

Computed properties:
Energy relative to the elements, uncorrected   -0.92 eV/atom
Total magnetization   0.6 μB per formula unit
N(E_F)   0.7519 states/eV per atom
Calculated total energy   -4.252 eV/atom

=====

# 13
Compound: YCoSiOs2
Source: Alexandria
Functional: PBE
Structure: optimized geometry

Lattice parameters (Å, degrees): 4.4954 4.4954 4.2271 90.00 90.00 90.00
Sites, in units of the cell vectors:
Y 0.0000 0.0000 0.0000
Co 0.5000 0.5000 0.0000
Si 0.5000 0.5000 0.5000
Os 0.0000 0.5000 0.5000
Os 0.5000 0.0000 0.5000

Computed properties:
Energy relative to the elements, uncorrected   0.20 eV/atom
Total magnetization   0.0 μB per formula unit
N(E_F)   0.7536 states/eV per atom
Calculated total energy   -8.086 eV/atom

=====

# 14
Compound: Er11Tm9Sc4
Source: Alexandria
Functional: PBE
Structure: optimized geometry

Lattice parameters (Å, degrees): 14.7563 14.7563 3.5447 90.00 90.00 113.00
Sites, in units of the cell vectors:
Er 0.0000 0.0000 0.0000
Er 0.0466 0.4075 0.0000
Er 0.1593 0.8407 0.0000
Er 0.2974 0.2974 0.0000
Er 0.3698 0.6302 0.0000
Er 0.4075 0.0466 0.0000
Er 0.5925 0.9534 0.0000
Er 0.6302 0.3698 0.0000
Er 0.7026 0.7026 0.0000
Er 0.8407 0.1593 0.0000
Er 0.9534 0.5925 0.0000
Tm 0.0731 0.2175 0.5000
Tm 0.1656 0.6291 0.5000
Tm 0.2175 0.0731 0.5000
Tm 0.3709 0.8344 0.5000
Tm 0.5000 0.5000 0.5000
Tm 0.6291 0.1656 0.5000
Tm 0.7825 0.9269 0.5000
Tm 0.8344 0.3709 0.5000
Tm 0.9269 0.7825 0.5000
Sc 0.2434 0.4464 0.5000
Sc 0.4464 0.2434 0.5000
Sc 0.5536 0.7565 0.5000
Sc 0.7565 0.5536 0.5000

Computed properties:
Total magnetization   0.4 μB per formula unit
N(E_F)   1.4187 states/eV per atom
Calculated total energy   -4.780 eV/atom

=====

# 15
Compound: CsTi3I
Source: Alexandria
Functional: PBE
Structure: optimized geometry

Lattice parameters (Å, degrees): 5.0698 5.0698 5.0698 90.00 90.00 90.00
Sites, in units of the cell vectors:
Cs 0.0000 0.0000 0.0000
Ti 0.0000 0.0000 0.5000
Ti 0.0000 0.5000 0.0000
Ti 0.5000 0.0000 0.0000
I 0.5000 0.5000 0.5000

Computed properties:
E above lowest polymorph   728 meV per atom
Energy relative to the elements, uncorrected   2.03 eV/atom
Total magnetization   1.0 μB per formula unit
N(E_F)   1.6777 states/eV per atom
Calculated total energy   -3.184 eV/atom

=====

# 16
Compound: SrLiV
Source: Alexandria
Functional: PBE
Structure: optimized geometry

Lattice parameters (Å, degrees): 5.3648 5.3648 5.3648 60.00 60.00 60.00
Sites, in units of the cell vectors:
Sr 0.0000 0.0000 0.0000
Li 0.7500 0.7500 0.7500
V 0.2500 0.2500 0.2500

Computed properties:
E above lowest polymorph   797 meV per atom
Total magnetization   4.9 μB per formula unit
N(E_F)   2.3650 states/eV per atom
Calculated total energy   -2.989 eV/atom

=====

# 17
Compound: Pr4RuPtI2
Source: Alexandria
Functional: PBE
Structure: optimized geometry

Lattice parameters (Å, degrees): 7.3518 4.2421 8.5511 90.00 106.63 90.00
Sites, in units of the cell vectors:
Pr 0.2196 0.0000 0.1880
Pr 0.2603 0.5000 0.8151
Pr 0.7397 0.5000 0.1849
Pr 0.7804 0.0000 0.8120
Ru 0.0000 0.5000 0.0000
Pt 0.5000 0.0000 0.0000
I 0.0000 0.0000 0.5000
I 0.5000 0.5000 0.5000

Computed properties:
Energy relative to the elements, uncorrected   -0.91 eV/atom
Total magnetization   0.0 μB per formula unit
N(E_F)   0.2679 states/eV per atom
Calculated total energy   -5.598 eV/atom

=====

# 18
Compound: Tl2NiP3Pt12
Source: Alexandria
Functional: PBE
Structure: optimized geometry

Lattice parameters (Å, degrees): 7.6199 7.6199 7.6199 63.68 63.68 63.68
Sites, in units of the cell vectors:
Tl 0.1162 0.1162 0.1162
Tl 0.8838 0.8838 0.8838
Ni 0.5000 0.5000 0.5000
P 0.0000 0.5000 0.5000
P 0.5000 0.0000 0.5000
P 0.5000 0.5000 0.0000
Pt 0.1254 0.6264 0.6264
Pt 0.1414 0.1414 0.6104
Pt 0.1414 0.6104 0.1414
Pt 0.3736 0.3736 0.8746
Pt 0.3736 0.8746 0.3736
Pt 0.3896 0.8586 0.8586
Pt 0.6104 0.1414 0.1414
Pt 0.6264 0.1254 0.6264
Pt 0.6264 0.6264 0.1254
Pt 0.8586 0.3896 0.8586
Pt 0.8586 0.8586 0.3896
Pt 0.8746 0.3736 0.3736

Computed properties:
Total magnetization   0.7 μB per formula unit
N(E_F)   0.5515 states/eV per atom
Calculated total energy   -5.629 eV/atom

=====

# 19
Compound: Tb5Sm12Al2
Source: Alexandria
Functional: PBE
Structure: optimized geometry

Lattice parameters (Å, degrees): 9.7805 9.7805 8.9448 106.70 106.70 48.54
Sites, in units of the cell vectors:
Tb 0.0000 0.0000 0.0000
Tb 0.2492 0.2492 0.7203
Tb 0.3141 0.3141 0.3291
Tb 0.6859 0.6859 0.6709
Tb 0.7508 0.7508 0.2797
Sm 0.0495 0.0495 0.6685
Sm 0.0624 0.6624 0.6318
Sm 0.0803 0.6132 0.0291
Sm 0.3376 0.9376 0.3682
Sm 0.3868 0.9197 0.9709
Sm 0.4806 0.4806 0.8080
Sm 0.5194 0.5194 0.1920
Sm 0.6132 0.0803 0.0291
Sm 0.6624 0.0624 0.6318
Sm 0.9197 0.3868 0.9709
Sm 0.9376 0.3376 0.3682
Sm 0.9505 0.9505 0.3315
Al 0.3382 0.6618 0.5000
Al 0.6618 0.3382 0.5000

Computed properties:
Total magnetization   0.0 μB per formula unit
N(E_F)   1.1935 states/eV per atom
Calculated total energy   -4.530 eV/atom

=====

# 20
Compound: ReBI2O
Source: Alexandria
Functional: PBE
Structure: optimized geometry

Lattice parameters (Å, degrees): 5.2434 5.2434 3.0122 90.00 90.00 90.00
Sites, in units of the cell vectors:
Re 0.0000 0.0000 0.0000
B 0.5000 0.5000 0.5000
I 0.0000 0.5000 0.5000
I 0.5000 0.0000 0.5000
O 0.5000 0.5000 0.0000

Computed properties:
E above lowest polymorph   113 meV per atom
Energy relative to the elements, uncorrected   0.86 eV/atom
Total magnetization   0.0 μB per formula unit
N(E_F)   0.5423 states/eV per atom
Calculated total energy   -4.581 eV/atom